No. 1
Material: LiHoBeTe3
Method: DFT, PBE
State: optimized geometry

For the total energy, the calculation gives -4.18 eV per atom. For the magnetization, the calculation gives 0.0 μB per formula unit.

The space group is Cmcm (No. 63) and the conventional cell measures 4.136, 14.771 and 11.454 Å, with angles of 90.00, 90.00 and 90.00 degrees. Symmetry generates all atoms from Li at (0.000, 0.169, 0.250), Ho at (0.000, 0.000, 0.000), Be at (0.000, 0.473, 0.750), Te at (0.000, 0.076, 0.750) and Te at (0.000, 0.364, 0.581).


No. 2
Material: HoMgBe
Method: DFT, PBE
State: optimized geometry

For the total energy, the calculation gives -2.40 eV per atom. For the magnetization, the calculation gives 0.1 μB per formula unit. Its energy relative to the lowest polymorph listed for this composition is 211 meV per atom.

The space group is F-43m (No. 216) and the conventional cell measures 6.739, 6.739 and 6.739 Å, with angles of 90.00, 90.00 and 90.00 degrees. Symmetry generates all atoms from Ho at (0.000, 0.000, 0.000), Mg at (0.250, 0.250, 0.250) and Be at (0.250, 0.250, 0.750).


No. 3
Material: HoMgBe
Method: DFT, PBE
State: optimized geometry

For the total energy, the calculation gives -2.61 eV per atom. For the magnetization, the calculation gives 0.0 μB per formula unit. Its energy relative to the lowest polymorph listed for this composition is 0 meV per atom.

The space group is F-43m (No. 216) and the conventional cell measures 6.533, 6.533 and 6.533 Å, with angles of 90.00, 90.00 and 90.00 degrees. Symmetry generates all atoms from Ho at (0.000, 0.000, 0.000), Mg at (0.250, 0.250, 0.750) and Be at (0.000, 0.000, 0.500).